VASP calculation (GGA-PBE) on crystalline Na4YHg5 at its relaxed geometry.

Output
The calculation puts the energy of formation from the pure elements at -0.28 eV per atom. Its symmetry is P4/mmm, No. 123.

Geometry as POSCAR:
```
Na4YHg5
1.0
-0.869 -2.791 -2.345
3.140 0.652 -1.940
9.107 -11.866 10.749
Na Hg Y
4 5 1
direct
0.000 0.000 0.801
0.000 0.000 0.598
0.000 0.000 0.199
0.000 0.000 0.402
0.500 0.500 0.303
0.500 0.500 0.500
0.500 0.500 0.904
0.500 0.500 0.697
0.500 0.500 0.096
0.000 0.000 0.000
```